1.
! HfZr2Hg | Alexandria via LeMat-Bulk | PBE | relaxed; values from VASP
&SYSTEM
  ibrav = 0, nat = 4, ntyp = 3
/
ATOMIC_SPECIES
Hf 178.49 Hf.upf
Zr 91.22 Zr.upf
Hg 200.59 Hg.upf
ATOMIC_POSITIONS angstrom
Hf 0.0000 0.0000 0.0000
Zr 0.0000 2.2148 2.2173
Zr 2.2148 0.0000 2.2173
Hg 2.2148 2.2148 0.0000
CELL_PARAMETERS angstrom
4.4297 0.0000 0.0000
0.0000 4.4297 0.0000
0.0000 0.0000 4.4347
! * raw total energy: -6.94 eV per atom
! * ρ: 10.72 g/cm³
! * space group: P4/mmm (123)

=====

2.
! KTl4In | Alexandria via LeMat-Bulk | PBE | relaxed; values from VASP
&SYSTEM
  ibrav = 0, nat = 12, ntyp = 3
/
ATOMIC_SPECIES
K 39.10 K.upf
Tl 204.38 Tl.upf
In 114.82 In.upf
ATOMIC_POSITIONS angstrom
K 2.2422 0.0000 1.2149
K 6.7265 0.0000 7.6836
Tl 0.0000 0.0000 4.4492
Tl 0.4466 2.5128 7.2412
Tl 2.2422 2.5128 4.0278
Tl 4.0377 2.5128 7.2412
Tl 4.4843 0.0000 4.4492
Tl 4.9309 2.5128 1.6572
Tl 6.7265 2.5128 4.8706
Tl 8.5221 2.5128 1.6572
In 2.2422 0.0000 6.5738
In 6.7265 0.0000 2.3246
CELL_PARAMETERS angstrom
8.9687 0.0000 0.0000
0.0000 5.0256 0.0000
0.0000 0.0000 8.8984
! * raw total energy: -2.28 eV per atom
! * ρ: 8.04 g/cm³
! * space group: Pmma (51)

=====

3.
! CaCdCo2 | Alexandria via LeMat-Bulk | PBE | relaxed; values from VASP
&SYSTEM
  ibrav = 0, nat = 4, ntyp = 3
/
ATOMIC_SPECIES
Ca 40.08 Ca.upf
Cd 112.41 Cd.upf
Co 58.93 Co.upf
ATOMIC_POSITIONS angstrom
Ca 0.0000 0.0000 0.0000
Cd 1.5616 1.5616 2.5260
Co 0.0000 0.0000 4.3850
Co 1.5616 1.5616 5.3065
CELL_PARAMETERS angstrom
3.1232 0.0000 0.0000
0.0000 3.1232 0.0000
0.0000 0.0000 7.4030
! * raw total energy: -4.12 eV per atom
! * ρ: 6.22 g/cm³
! * space group: P4mm (99)

=====

4.
! LaV2Re2 | Alexandria via LeMat-Bulk | PBE | relaxed; values from VASP
&SYSTEM
  ibrav = 0, nat = 5, ntyp = 3
/
ATOMIC_SPECIES
La 138.91 La.upf
V 50.94 V.upf
Re 186.21 Re.upf
ATOMIC_POSITIONS angstrom
La 0.0000 0.0000 0.0000
V 2.0774 0.0000 2.7695
V 0.0000 2.0774 2.7695
Re 0.0000 0.0000 4.1812
Re 0.0000 0.0000 6.8969
CELL_PARAMETERS angstrom
-2.0774 2.0774 5.5390
2.0774 -2.0774 5.5390
2.0774 2.0774 -5.5390
! * raw total energy: -9.53 eV per atom
! * ρ: 10.65 g/cm³
! * space group: I4/mmm (139)

=====

5.
! Nd6Ge2Te3Cl | Alexandria via LeMat-Bulk | PBE | relaxed; values from VASP
&SYSTEM
  ibrav = 0, nat = 12, ntyp = 4
/
ATOMIC_SPECIES
Nd 144.24 Nd.upf
Ge 72.64 Ge.upf
Te 127.60 Te.upf
Cl 35.45 Cl.upf
ATOMIC_POSITIONS angstrom
Nd -0.3047 0.0000 2.2006
Nd 5.3875 0.0000 3.7067
Nd 4.4525 0.0000 7.6583
Nd 12.6816 0.0000 0.9424
Nd 11.7466 0.0000 4.8941
Nd 17.4388 0.0000 6.4002
Ge 2.5093 0.0000 2.8557
Ge 14.6247 0.0000 5.7451
Te 1.3222 0.0000 7.1813
Te 8.5670 0.0000 4.3004
Te 15.8118 0.0000 1.4195
Cl 9.6356 0.0000 0.0000
CELL_PARAMETERS angstrom
9.6356 -2.1771 0.0000
9.6356 2.1771 0.0000
-2.1371 0.0000 8.6008
! * raw total energy: -5.41 eV per atom
! * ρ: 6.58 g/cm³
! * raw formation energy: -1315 meV/atom
! * space group: C2/m (12)

=====

6.
! ZrPaCoRh | Alexandria via LeMat-Bulk | PBE | relaxed; values from VASP
&SYSTEM
  ibrav = 0, nat = 4, ntyp = 4
/
ATOMIC_SPECIES
Zr 91.22 Zr.upf
Pa 231.04 Pa.upf
Co 58.93 Co.upf
Rh 102.91 Rh.upf
ATOMIC_POSITIONS angstrom
Zr 0.0000 0.0000 0.0000
Pa 2.0983 0.0000 2.8372
Co 2.0983 0.0000 5.2954
Rh 0.0000 0.0000 7.1943
CELL_PARAMETERS angstrom
4.1965 0.0000 0.0000
0.0000 1.8063 4.9691
0.0000 -1.8063 4.9691
! * raw total energy: -8.69 eV per atom
! * ρ: 10.67 g/cm³
! * space group: Amm2 (38)

=====

7.
! RbOsSN2 | Alexandria via LeMat-Bulk | PBE | relaxed; values from VASP
&SYSTEM
  ibrav = 0, nat = 5, ntyp = 4
/
ATOMIC_SPECIES
Rb 85.47 Rb.upf
Os 190.23 Os.upf
S 32.06 S.upf
N 14.01 N.upf
ATOMIC_POSITIONS angstrom
Rb 0.0000 0.0000 0.0000
Os 1.9847 1.9847 2.5408
S 1.9847 1.9847 0.0000
N 0.0000 1.9847 2.5408
N 1.9847 0.0000 2.5408
CELL_PARAMETERS angstrom
3.9695 0.0000 0.0000
0.0000 3.9695 0.0000
0.0000 0.0000 5.0817
! * raw total energy: -6.07 eV per atom
! * ρ: 6.96 g/cm³
! * raw formation energy: 522 meV/atom
! * space group: P4/mmm (123)

=====

8.
! Y3Mg2In | Alexandria via LeMat-Bulk | PBE | relaxed; values from VASP
&SYSTEM
  ibrav = 0, nat = 6, ntyp = 3
/
ATOMIC_SPECIES
Y 88.91 Y.upf
Mg 24.30 Mg.upf
In 114.82 In.upf
ATOMIC_POSITIONS angstrom
Y 0.0000 0.0000 0.0000
Y 0.0000 3.0845 4.3657
Y 2.6712 1.5422 2.1880
Mg 0.0000 3.0845 1.0146
Mg 2.6712 1.5422 5.5391
In 0.0000 0.0000 3.2769
CELL_PARAMETERS angstrom
5.3425 0.0000 0.0000
-2.6712 4.6267 0.0000
0.0000 0.0000 6.5537
! * raw total energy: -4.49 eV per atom
! * ρ: 4.41 g/cm³
! * space group: P-3m1 (164)

=====

9.
! AgAsPdRu2 | Alexandria via LeMat-Bulk | PBE | relaxed; values from VASP
&SYSTEM
  ibrav = 0, nat = 5, ntyp = 4
/
ATOMIC_SPECIES
Ag 107.87 Ag.upf
As 74.92 As.upf
Pd 106.42 Pd.upf
Ru 101.07 Ru.upf
ATOMIC_POSITIONS angstrom
Ag 0.0000 0.0000 0.0000
As 2.4746 2.4746 0.0000
Pd 2.4746 2.4746 2.2717
Ru 0.0000 2.4746 2.2717
Ru 2.4746 0.0000 2.2717
CELL_PARAMETERS angstrom
4.9491 0.0000 0.0000
0.0000 4.9491 0.0000
0.0000 0.0000 4.5434
! * raw total energy: -4.72 eV per atom
! * ρ: 7.33 g/cm³
! * space group: P4/mmm (123)

=====

10.
! EuHo2Ir | Alexandria via LeMat-Bulk | PBE | relaxed; values from VASP
&SYSTEM
  ibrav = 0, nat = 4, ntyp = 3
/
ATOMIC_SPECIES
Eu 151.96 Eu.upf
Ho 164.93 Ho.upf
Ir 192.22 Ir.upf
ATOMIC_POSITIONS angstrom
Eu 0.0000 0.0000 0.0000
Ho 1.7481 1.7481 3.0434
Ho 1.7481 1.7481 6.2322
Ir 0.0000 0.0000 4.6378
CELL_PARAMETERS angstrom
3.4962 0.0000 0.0000
0.0000 3.4962 0.0000
0.0000 0.0000 9.2756
! * raw total energy: -7.50 eV per atom
! * ρ: 9.87 g/cm³
! * space group: P4/mmm (123)

=====

11.
! YTa2Fe2 | Alexandria via LeMat-Bulk | PBE | relaxed; values from VASP
&SYSTEM
  ibrav = 0, nat = 10, ntyp = 3
/
ATOMIC_SPECIES
Y 88.91 Y.upf
Ta 180.95 Ta.upf
Fe 55.84 Fe.upf
ATOMIC_POSITIONS angstrom
Y 0.0000 0.0000 0.0000
Y 3.7417 3.7417 0.0000
Ta 1.1089 2.6328 1.5175
Ta 2.6328 6.3746 1.5175
Ta 4.8507 1.1089 1.5175
Ta 6.3746 4.8507 1.5175
Fe 0.9680 4.7098 0.0000
Fe 2.7737 0.9680 0.0000
Fe 4.7098 6.5155 0.0000
Fe 6.5155 2.7737 0.0000
CELL_PARAMETERS angstrom
7.4835 0.0000 0.0000
0.0000 7.4835 0.0000
0.0000 0.0000 3.0350
! * raw total energy: -9.29 eV per atom
! * ρ: 10.99 g/cm³
! * space group: P4/mbm (127)

=====

12.
! SmTmCo | Alexandria via LeMat-Bulk | PBE | relaxed; values from VASP
&SYSTEM
  ibrav = 0, nat = 3, ntyp = 3
/
ATOMIC_SPECIES
Sm 150.36 Sm.upf
Tm 168.93 Tm.upf
Co 58.93 Co.upf
ATOMIC_POSITIONS angstrom
Sm 0.0000 0.0000 0.0000
Tm 0.0000 2.2484 2.8602
Co 1.9472 1.1242 1.4754
CELL_PARAMETERS angstrom
3.8944 0.0000 0.0000
-1.9472 3.3726 0.0000
0.0000 0.0000 6.1482
! * raw total energy: -5.47 eV per atom
! * ρ: 7.78 g/cm³
! * space group: P3m1 (156)

=====

13.
! CaMgCo2 | Alexandria via LeMat-Bulk | PBE | relaxed; values from VASP
&SYSTEM
  ibrav = 0, nat = 4, ntyp = 3
/
ATOMIC_SPECIES
Ca 40.08 Ca.upf
Mg 24.30 Mg.upf
Co 58.93 Co.upf
ATOMIC_POSITIONS angstrom
Ca 0.0000 0.0000 0.0000
Mg 0.0000 0.0000 12.8907
Co 0.0000 0.0000 6.3221
Co 0.0000 0.0000 19.4594
CELL_PARAMETERS angstrom
1.5139 0.8741 8.5938
-1.5139 0.8741 8.5938
0.0000 -1.7481 8.5938
! * raw total energy: -3.85 eV per atom
! * ρ: 4.44 g/cm³
! * space group: R-3m (166)

=====

14.
! VOsW2 | Alexandria via LeMat-Bulk | PBE | relaxed; values from VASP
&SYSTEM
  ibrav = 0, nat = 4, ntyp = 3
/
ATOMIC_SPECIES
V 50.94 V.upf
Os 190.23 Os.upf
W 183.84 W.upf
ATOMIC_POSITIONS angstrom
V 0.0000 0.0000 0.0000
Os 3.1103 3.1103 3.1103
W 1.5552 1.5552 1.5552
W 4.6655 4.6655 4.6655
CELL_PARAMETERS angstrom
0.0000 3.1103 3.1103
3.1103 0.0000 3.1103
3.1103 3.1103 0.0000
! * raw total energy: -11.56 eV per atom
! * ρ: 16.80 g/cm³
! * space group: Fm-3m (225)

=====

15.
! Na2Mn2Cd | Alexandria via LeMat-Bulk | PBE | relaxed; values from VASP
&SYSTEM
  ibrav = 0, nat = 10, ntyp = 3
/
ATOMIC_SPECIES
Na 22.99 Na.upf
Mn 54.94 Mn.upf
Cd 112.41 Cd.upf
ATOMIC_POSITIONS angstrom
Na 1.7657 2.5405 0.0000
Na 2.5405 6.8467 0.0000
Na 6.0719 1.7657 0.0000
Na 6.8467 6.0719 0.0000
Mn 0.6734 4.9796 1.4162
Mn 3.6328 0.6734 1.4162
Mn 4.9796 7.9390 1.4162
Mn 7.9390 3.6328 1.4162
Cd 0.0000 0.0000 1.4162
Cd 4.3062 4.3062 1.4162
CELL_PARAMETERS angstrom
8.6124 0.0000 0.0000
0.0000 8.6124 0.0000
0.0000 0.0000 2.8324
! * raw total energy: -3.55 eV per atom
! * ρ: 4.24 g/cm³
! * space group: P4/mbm (127)

=====

16.
! Cs2MgTlBr5 | Alexandria via LeMat-Bulk | PBE | relaxed; values from VASP
&SYSTEM
  ibrav = 0, nat = 9, ntyp = 4
/
ATOMIC_SPECIES
Cs 132.91 Cs.upf
Mg 24.30 Mg.upf
Tl 204.38 Tl.upf
Br 79.90 Br.upf
ATOMIC_POSITIONS angstrom
Cs 0.0000 0.0000 3.5337
Cs 0.0000 0.0000 13.4759
Mg 2.6591 0.0000 0.0000
Tl 0.0000 3.9200 0.0000
Br 0.0000 0.0000 0.0000
Br 2.6591 1.9510 -1.9091
Br 2.6591 1.9510 1.9091
Br 0.0000 1.9690 6.5957
Br 0.0000 1.9690 10.4138
CELL_PARAMETERS angstrom
-2.6591 3.9200 8.5048
2.6591 -3.9200 8.5048
2.6591 3.9200 -8.5048
! * raw total energy: -3.00 eV per atom
! * ρ: 4.19 g/cm³
! * raw formation energy: -1440 meV/atom
! * space group: Immm (71)

=====

17.
! SmY3Te6 | Alexandria via LeMat-Bulk | PBE | relaxed; values from VASP
&SYSTEM
  ibrav = 0, nat = 10, ntyp = 3
/
ATOMIC_SPECIES
Sm 150.36 Sm.upf
Y 88.91 Y.upf
Te 127.60 Te.upf
ATOMIC_POSITIONS angstrom
Sm 0.0000 0.0000 0.0000
Y 0.0000 0.0000 3.9550
Y 0.0000 0.0000 10.6084
Y 0.0000 0.0000 14.5569
Te -2.6652 0.1124 9.0790
Te -1.1595 -2.1054 12.5844
Te 1.2353 -2.3643 9.0790
Te -1.2436 2.0569 12.5844
Te 1.4299 2.2519 9.0790
Te 2.4031 0.0486 12.5844
CELL_PARAMETERS angstrom
3.8695 2.2341 7.0575
-3.8695 2.2341 7.0575
0.0000 -4.4681 7.0575
! * raw total energy: -5.68 eV per atom
! * ρ: 5.36 g/cm³
! * raw formation energy: -1383 meV/atom
! * space group: R3 (146)

=====

18.
! Sm3ThZn8 | Alexandria via LeMat-Bulk | PBE | relaxed; values from VASP
&SYSTEM
  ibrav = 0, nat = 12, ntyp = 3
/
ATOMIC_SPECIES
Sm 150.36 Sm.upf
Th 232.04 Th.upf
Zn 65.41 Zn.upf
ATOMIC_POSITIONS angstrom
Sm 0.0000 0.0000 0.0000
Sm 0.0000 0.0000 3.3365
Sm 0.0000 3.2486 7.8834
Th 0.0000 3.2486 4.5477
Zn -1.3889 2.4468 1.7564
Zn 1.3879 0.8013 6.1459
Zn 1.3889 2.4468 1.7564
Zn 0.0000 4.8524 1.7564
Zn 2.8134 1.6243 3.9525
Zn 2.8134 1.6243 8.3531
Zn 4.2389 0.8013 6.1459
Zn 2.8134 3.2703 6.1459
CELL_PARAMETERS angstrom
5.6268 0.0000 0.0000
-2.8134 4.8729 0.0000
0.0000 0.0000 8.8051
! * raw total energy: -2.93 eV per atom
! * ρ: 8.30 g/cm³
! * space group: P3m1 (156)